[1]
Density functional theory data (GGA-PBE) for a geometry-optimized Li2NpPb3O6 structure.

- space-group type = P-3m1 (164)
- magnetization (μB/atom) = 0.12
- calculated total energy (eV/f.u.) = -77.02

Cell lengths 5.8650, 5.8650, 6.9049 Å; angles 90.00, 90.00, 120.00 degrees
Closest atoms and distances in Å follow each position.
Fractional positions:
Li 0.6667 0.3333 0.7950  3 O 1.89
Li 0.3333 0.6667 0.2050  3 O 1.89
Np 0.0000 0.0000 0.5000  6 O 2.08
Pb 0.3333 0.6667 0.6512  9 O 2.85-2.94, 1 Li 3.08
Pb 0.6667 0.3333 0.3488  9 O 2.85-2.94, 1 Li 3.08
Pb 0.0000 0.0000 0.0000  6 O 2.78
O 0.6698 0.8349 0.3209  1 Li 1.89, 1 Np 2.08
O 0.1651 0.3302 0.3209  1 Li 1.89, 1 Np 2.08
O 0.1651 0.8349 0.3209  1 Li 1.89, 1 Np 2.08
O 0.8349 0.6698 0.6791  1 Li 1.89, 1 Np 2.08
O 0.3302 0.1651 0.6791  1 Li 1.89, 1 Np 2.08
O 0.8349 0.1651 0.6791  1 Li 1.89, 1 Np 2.08

***

[2]
Density functional theory data (GGA-PBE) for a geometry-optimized LiNp2PbO8 structure.

- space-group type = P-1 (2)
- magnetization (μB/atom) = 0.08
- calculated total energy (eV/f.u.) = -98.90

Cell lengths 5.1457, 5.1518, 7.0071 Å; angles 88.78, 88.78, 86.04 degrees
Closest atoms and distances in Å follow each position.
Fractional positions:
Li 0.0000 0.0000 0.0000  6 O 2.28-2.49
Np 0.4985 0.4985 0.7568  4 O 1.91-2.09
Np 0.5015 0.5015 0.2432  4 O 1.91-2.09
Pb 0.0000 0.0000 0.5000  6 O 2.48-2.50
O 0.2297 0.7719 0.2314  1 Np 1.91
O 0.6707 0.6688 0.0108  2 Np 2.03-2.23
O 0.7700 0.2278 0.2315  1 Np 1.91
O 0.7703 0.2281 0.7686  1 Np 1.91
O 0.3293 0.3312 0.9892  2 Np 2.03-2.23
O 0.2300 0.7722 0.7685  1 Np 1.91
O 0.6683 0.6662 0.5144  2 Np 2.09-2.30
O 0.3317 0.3338 0.4856  2 Np 2.09-2.30

***

[3]
Density functional theory data (GGA-PBE) for a geometry-optimized LiNpPdO6 structure.

- space-group type = P-31c (163)
- magnetization (μB/atom) = 0.00
- calculated total energy (eV/f.u.) = -64.74

Cell lengths 5.2720, 5.2720, 9.4750 Å; angles 90.00, 90.00, 120.00 degrees
Closest atoms and distances in Å follow each position.
Fractional positions:
Li 0.0000 0.0000 0.0000  6 O 2.24
Li 0.0000 0.0000 0.5000  6 O 2.24
Np 0.6667 0.3333 0.2500  6 O 2.03
Np 0.3333 0.6667 0.7500  6 O 2.03
Pd 0.3333 0.6667 0.2500  6 O 2.04
Pd 0.6667 0.3333 0.7500  6 O 2.04
O 0.6513 0.6505 0.1351  1 Np 2.03, 1 Pd 2.04, 1 Li 2.24
O 0.9992 0.3487 0.1351  1 Np 2.03, 1 Pd 2.04, 1 Li 2.24
O 0.3487 0.9992 0.6351  1 Np 2.03, 1 Pd 2.04, 1 Li 2.24
O 0.0008 0.6513 0.8649  1 Np 2.03, 1 Pd 2.04, 1 Li 2.24
O 0.3495 0.3487 0.3649  1 Np 2.03, 1 Pd 2.04, 1 Li 2.24
O 0.9992 0.6505 0.3649  1 Np 2.03, 1 Pd 2.04, 1 Li 2.24
O 0.6505 0.9992 0.8649  1 Np 2.03, 1 Pd 2.04, 1 Li 2.24
O 0.6513 0.0008 0.3649  1 Np 2.03, 1 Pd 2.04, 1 Li 2.24
O 0.0008 0.3495 0.6351  1 Np 2.03, 1 Pd 2.04, 1 Li 2.24
O 0.3495 0.0008 0.1351  1 Np 2.03, 1 Pd 2.04, 1 Li 2.24
O 0.6505 0.6513 0.6351  1 Np 2.03, 1 Pd 2.04, 1 Li 2.24
O 0.3487 0.3495 0.8649  1 Np 2.03, 1 Pd 2.04, 1 Li 2.24

***

[4]
Density functional theory data (GGA-PBE) for a geometry-optimized Li2NpPdO6 structure.

- space-group type = R3 (146)
- magnetization (μB/atom) = 0.10
- calculated total energy (eV/f.u.) = -70.06

Cell lengths 5.2800, 5.2799, 5.5994 Å; angles 61.88, 61.86, 60.00 degrees
Closest atoms and distances in Å follow each position.
Fractional positions:
Li 0.5307 0.5308 0.4077  3 O 2.04
Li 0.0353 0.0354 0.8941  3 O 2.02-2.03
Np 0.8210 0.8210 0.5370  6 O 2.05-2.06
Pd 0.3216 0.3216 0.0353  6 O 2.03-2.05
O 0.5827 0.2031 0.2748  1 Li 2.04, 1 Pd 2.04, 1 Np 2.05
O 0.2031 0.9392 0.2748  1 Li 2.04, 1 Pd 2.05, 1 Np 2.05
O 0.9392 0.5828 0.2747  1 Li 2.04, 1 Pd 2.04, 1 Np 2.05
O 0.4364 0.7011 0.7723  1 Li 2.03, 1 Pd 2.04, 1 Np 2.06
O 0.7010 0.0903 0.7724  1 Li 2.03, 1 Pd 2.03, 1 Np 2.06
O 0.0905 0.4364 0.7722  1 Li 2.02, 1 Pd 2.03, 1 Np 2.06

***

[5]
Density functional theory data (GGA-PBE) for a geometry-optimized LiPmNpO6 structure.

- space-group type = P-31c (163)
- magnetization (μB/atom) = 0.10
- calculated total energy (eV/f.u.) = -71.80

Cell lengths 5.3436, 5.3436, 10.2028 Å; angles 90.00, 90.00, 120.00 degrees
Closest atoms and distances in Å follow each position.
Fractional positions:
Li 0.3333 0.6667 0.2500  6 O 2.13
Li 0.6667 0.3333 0.7500  6 O 2.13
Pm 0.0000 0.0000 0.0000  6 O 2.37
Pm 0.0000 0.0000 0.5000  6 O 2.37
Np 0.6667 0.3333 0.2500  6 O 2.00
Np 0.3333 0.6667 0.7500  6 O 2.00
O 0.6554 0.6356 0.1392  1 Np 2.00, 1 Li 2.13
O 0.9803 0.3446 0.1392  1 Np 2.00, 1 Li 2.13
O 0.3446 0.9803 0.6392  1 Np 2.00, 1 Li 2.13
O 0.0197 0.6554 0.8608  1 Np 2.00, 1 Li 2.13
O 0.3644 0.3446 0.3608  1 Np 2.00, 1 Li 2.13
O 0.9803 0.6356 0.3608  1 Np 2.00, 1 Li 2.13
O 0.6356 0.9803 0.8608  1 Np 2.00, 1 Li 2.13
O 0.6554 0.0197 0.3608  1 Np 2.00, 1 Li 2.13
O 0.0197 0.3644 0.6392  1 Np 2.00, 1 Li 2.13
O 0.3644 0.0197 0.1392  1 Np 2.00, 1 Li 2.13
O 0.6356 0.6554 0.6392  1 Np 2.00, 1 Li 2.13
O 0.3446 0.3644 0.8608  1 Np 2.00, 1 Li 2.13

***

[6]
Density functional theory data (GGA-PBE) for a geometry-optimized Li4PmNp3O12 structure.

- space-group type = R32 (155)
- magnetization (μB/atom) = 0.20
- calculated total energy (eV/f.u.) = -162.82

Cell lengths 6.9206, 6.9206, 6.9206 Å; angles 106.41, 106.41, 106.41 degrees
Closest atoms and distances in Å follow each position.
Fractional positions:
Li 0.9379 0.0621 0.5000  3 O 1.88-1.90
Li 0.0621 0.5000 0.9379  3 O 1.88-1.90
Li 0.5000 0.9379 0.0621  3 O 1.88-1.90
Li 0.5000 0.5000 0.5000  3 O 1.82
Pm 0.0000 0.0000 0.0000  6 O 2.51
Np 0.5546 0.4454 0.0000  6 O 2.06-2.13
Np 0.4454 0.0000 0.5546  6 O 2.06-2.13
Np 0.0000 0.5546 0.4454  6 O 2.06-2.13
O 0.5000 0.3355 0.6645  1 Li 1.82
O 0.8929 0.5000 0.1071  1 Li 1.88
O 0.1071 0.8929 0.5000  1 Li 1.88
O 0.5000 0.1071 0.8929  1 Li 1.88
O 0.3324 0.9713 0.2342  1 Li 1.90, 1 Np 2.06
O 0.2342 0.3324 0.9713  1 Li 1.90, 1 Np 2.06
O 0.9713 0.2342 0.3324  1 Li 1.90, 1 Np 2.06
O 0.6676 0.7658 0.0287  1 Li 1.90, 1 Np 2.06
O 0.0287 0.6676 0.7658  1 Li 1.90, 1 Np 2.06
O 0.7658 0.0287 0.6676  1 Li 1.90, 1 Np 2.06
O 0.6645 0.5000 0.3355  1 Li 1.82
O 0.3355 0.6645 0.5000  1 Li 1.82